[1]
{
  "formula": "TbSm2ScSe6",
  "functional": "PBE",
  "state": "optimized geometry",
  "sg": "R3, No. 146",
  "e_tot_ev_per_atom": -5.924,
  "raw_formation_energy_ev_per_atom": -1.79,
  "lattice_angstrom": [[3.6048, 2.0812, 6.4176], [-3.6048, 2.0812, 6.4176], [0.0000, -4.1624, 6.4176]],
  "species": ["Tb", "Sm", "Sm", "Sc", "Se", "Se", "Se", "Se", "Se", "Se"],
  "frac_coords": [[0.0000, 0.0000, 0.0000], [0.2991, 0.2991, 0.2991], [0.8013, 0.8013, 0.8013], [0.4972, 0.4972, 0.4972], [0.1193, 0.7110, 0.3893], [0.2287, 0.6091, 0.8726], [0.3893, 0.1193, 0.7110], [0.6091, 0.8726, 0.2287], [0.7110, 0.3893, 0.1193], [0.8726, 0.2287, 0.6091]]
}


[2]
{
  "formula": "SmScTeSe",
  "functional": "PBE",
  "state": "optimized geometry",
  "sg": "R3m, No. 160",
  "e_tot_ev_per_atom": -5.903,
  "raw_formation_energy_ev_per_atom": -1.48,
  "lattice_angstrom": [[2.0721, 1.1963, 6.8909], [-2.0721, 1.1963, 6.8909], [0.0000, -2.3926, 6.8909]],
  "species": ["Sm", "Sc", "Te", "Se"],
  "frac_coords": [[0.0000, 0.0000, 0.0000], [0.5243, 0.5243, 0.5243], [0.7684, 0.7684, 0.7684], [0.2534, 0.2534, 0.2534]]
}